# SmDy2Tm PBE relaxed
data_SmDy2Tm
_chemical_formula_sum 'Sm1 Dy2 Tm1'
_cell_length_a 5.0137
_cell_length_b 5.0137
_cell_length_c 5.0276
_cell_angle_alpha 90.00
_cell_angle_beta 90.00
_cell_angle_gamma 90.00
_symmetry_space_group_name_H-M 'P 4/m m m'
_symmetry_Int_Tables_number 123
_symmetry_space_group_name_Hall '-P 4 2'
loop_
_atom_site_label
_atom_site_type_symbol
_atom_site_fract_x
_atom_site_fract_y
_atom_site_fract_z
Sm1 Sm 0.0000 0.0000 0.0000
Dy1 Dy 0.0000 0.5000 0.5000
Tm1 Tm 0.5000 0.5000 0.0000
# D(E_F) in states/eV/cell: 5.82
# Final energy in eV per atom: -4.577
# ΔE to the lowest computed polymorph in eV/f.u.: 0.05